No. 1
Here is crystalline MnCuIO2 at its relaxed geometry from Alexandria via LeMat-Bulk. Energies are from GGA+U. Values from VASP.

Output
Calculated volume = 16.56 A^3/atom
Excess energy over the best structure of this formula in the dataset = 2.57 eV/f.u.
Symmetry = No. 123

The structure in Quantum ESPRESSO input format:
```
&SYSTEM
  ibrav = 0, nat = 5, ntyp = 4
/
ATOMIC_SPECIES
I 126.90 I.upf
Mn 54.94 Mn.upf
O 16.00 O.upf
Cu 63.55 Cu.upf
ATOMIC_POSITIONS crystal
I 0.0000 0.0000 0.5000
Mn 0.5000 0.5000 0.5000
O 0.0000 0.5000 0.0000
O 0.5000 0.0000 0.0000
Cu 0.0000 0.0000 0.0000
CELL_PARAMETERS angstrom
-0.4121 1.5379 3.6247
-2.8401 -2.6403 0.7973
3.6395 -3.3595 1.8391
```



No. 2
Here is crystalline Na2SbWO6 at its relaxed geometry from Alexandria via LeMat-Bulk. Energies are from GGA+U. Values from VASP.

Output
Total energy = -6.10 eV/atom
Calculated volume = 13.35 A^3/atom
Symmetry = No. 99

The structure in Quantum ESPRESSO input format:
```
&SYSTEM
  ibrav = 0, nat = 10, ntyp = 4
/
ATOMIC_SPECIES
Na 22.99 Na.upf
Sb 121.76 Sb.upf
W 183.84 W.upf
O 16.00 O.upf
ATOMIC_POSITIONS crystal
Na 0.0741 0.5000 0.0000
Na 0.0741 0.0000 0.5000
Sb 0.6470 0.0000 0.0000
W 0.6164 0.5000 0.5000
O 0.6807 0.2635 0.2635
O 0.6807 0.2635 0.7365
O 0.1632 0.5000 0.5000
O 0.1490 0.0000 0.0000
O 0.6807 0.7365 0.7365
O 0.6807 0.7365 0.2635
CELL_PARAMETERS angstrom
-2.8274 2.8074 0.8535
0.6462 -1.0487 5.5904
4.0713 4.0144 0.2824
```